No. 1
Entry from Alexandria: a geometry-optimized Sr2MgSbO structure (PBE).

Computed properties:
**Fermi-level density of states**: 1.8 states/eV per cell
**Space group**: No. 123
**E_form (uncorrected)**: -137.02 kJ per mole of atoms

Cell lengths 5.2357, 5.2357, 4.4945 Å; angles 90.00, 90.00, 90.00 degrees
Closest atoms and distances in Å follow each position.
Fractional positions:
Sb 0.5000 0.5000 0.5000  8 Sr 3.45, 4 Mg 3.70
Mg 0.0000 0.0000 0.5000  2 O 2.25
O 0.0000 0.0000 0.0000  2 Mg 2.25
Sr 0.0000 0.5000 0.0000  2 O 2.62
Sr 0.5000 0.0000 0.0000  2 O 2.62



No. 2
Entry from Alexandria: a geometry-optimized Mg2TaSbO6 structure (PBE).

Computed properties:
**Space group**: No. 11
**E_form (uncorrected)**: -217.16 kJ per mole of atoms

Cell lengths 7.8817, 5.5393, 5.5548 Å; angles 87.09, 90.00, 90.00 degrees
Closest atoms and distances in Å follow each position.
Fractional positions:
Mg 0.2500 0.4847 0.4686  4 O 2.03-2.26
Mg 0.7500 0.5153 0.5314  4 O 2.03-2.26
Mg 0.2500 0.0177 0.9681  4 O 2.04-2.09
Mg 0.7500 0.9823 0.0319  4 O 2.04-2.09
Ta 0.5000 0.5000 0.0000  6 O 1.97-2.14
Ta 0.0000 0.5000 0.0000  6 O 1.97-2.14
Sb 0.5000 0.0000 0.5000  6 O 2.22-2.37
Sb 0.0000 0.0000 0.5000  6 O 2.22-2.37
O 0.5692 0.3656 0.3198  1 Ta 1.97, 1 Mg 2.05
O 0.9291 0.1925 0.8579  1 Ta 1.99, 1 Mg 2.04
O 0.0692 0.6344 0.6802  1 Ta 1.97, 1 Mg 2.05
O 0.4291 0.8075 0.1421  1 Ta 1.99, 1 Mg 2.04
O 0.5709 0.1925 0.8579  1 Ta 1.99, 1 Mg 2.04
O 0.0709 0.8075 0.1421  1 Ta 1.99, 1 Mg 2.04
O 0.7500 0.8601 0.3881  2 Mg 2.03-2.06, 2 Sb 2.22
O 0.9308 0.3656 0.3198  1 Ta 1.97, 1 Mg 2.05
O 0.2500 0.3713 0.0842  2 Mg 2.09-2.26, 2 Ta 2.14
O 0.4308 0.6344 0.6802  1 Ta 1.97, 1 Mg 2.05
O 0.2500 0.1399 0.6119  2 Mg 2.03-2.06, 2 Sb 2.22
O 0.7500 0.6287 0.9158  2 Mg 2.09-2.26, 2 Ta 2.14



No. 3
Entry from Alexandria: a geometry-optimized MgTaSbO6 structure (PBE).

Computed properties:
**Fermi-level density of states**: 0.0 states/eV per cell
**Space group**: No. 163
**E_form (uncorrected)**: -213.09 kJ per mole of atoms

Cell lengths 5.2452, 5.2452, 9.1942 Å; angles 90.00, 90.00, 120.00 degrees
Closest atoms and distances in Å follow each position.
Fractional positions:
Mg 0.0000 0.0000 0.0000  6 O 2.21
Mg 0.0000 0.0000 0.5000  6 O 2.21
Ta 0.6667 0.3333 0.2500  6 O 2.01
Ta 0.3333 0.6667 0.7500  6 O 2.01
Sb 0.3333 0.6667 0.2500  6 O 2.01
Sb 0.6667 0.3333 0.7500  6 O 2.01
O 0.6483 0.6479 0.1330  1 Ta 2.01, 1 Sb 2.01, 1 Mg 2.21
O 0.9996 0.3517 0.1330  1 Ta 2.01, 1 Sb 2.01, 1 Mg 2.21
O 0.3517 0.9996 0.6330  1 Ta 2.01, 1 Sb 2.01, 1 Mg 2.21
O 0.0004 0.6483 0.8670  1 Ta 2.01, 1 Sb 2.01, 1 Mg 2.21
O 0.3521 0.3517 0.3670  1 Ta 2.01, 1 Sb 2.01, 1 Mg 2.21
O 0.9996 0.6479 0.3670  1 Ta 2.01, 1 Sb 2.01, 1 Mg 2.21
O 0.6479 0.9996 0.8670  1 Ta 2.01, 1 Sb 2.01, 1 Mg 2.21
O 0.6483 0.0004 0.3670  1 Ta 2.01, 1 Sb 2.01, 1 Mg 2.21
O 0.0004 0.3521 0.6330  1 Ta 2.01, 1 Sb 2.01, 1 Mg 2.21
O 0.3521 0.0004 0.1330  1 Ta 2.01, 1 Sb 2.01, 1 Mg 2.21
O 0.6479 0.6483 0.6330  1 Ta 2.01, 1 Sb 2.01, 1 Mg 2.21
O 0.3517 0.3521 0.8670  1 Ta 2.01, 1 Sb 2.01, 1 Mg 2.21